## i
A geometry-optimized TmTcOs structure, computed with PBE-GGA.

a b c (Å): 8.720 5.285 9.346
angles (deg): 90.00 90.00 90.00
Space group Amm2 (No. 38)
Symmetry-distinct sites (fractional):
Tm: 0.182 0.000 0.000 (multiplicity 4)
Tm: 0.314 0.000 0.669 (multiplicity 4)
Tc: 0.249 0.000 0.335 (multiplicity 4)
Tc: 0.500 0.242 0.920 (multiplicity 4)
Os: 0.000 0.000 0.509 (multiplicity 2)
Os: 0.000 0.243 0.748 (multiplicity 4)
Os: 0.500 0.000 0.161 (multiplicity 2)

---

## ii
A geometry-optimized TmTcOs structure, computed with PBE-GGA.

a b c (Å): 10.075 4.364 7.008
angles (deg): 90.00 132.29 90.00
Space group C2/m (No. 12)
Symmetry-distinct sites (fractional):
Tm: 0.064 0.000 0.315 (multiplicity 4)
Tc: 0.160 0.500 0.074 (multiplicity 4)
Os: 0.165 0.500 0.728 (multiplicity 4)

---

Calculated relative energies: i 0; ii 105, given in meV/atom

---

## i
A geometry-optimized Tm8TcOs2 structure, computed with PBE-GGA.

a b c (Å): 17.208 4.712 6.870
angles (deg): 90.00 107.83 90.00
Space group C2/m (No. 12)
Symmetry-distinct sites (fractional):
Tm: 0.030 0.000 0.295 (multiplicity 4)
Tm: 0.098 0.500 0.962 (multiplicity 4)
Tm: 0.168 0.500 0.461 (multiplicity 4)
Tm: 0.203 0.000 0.811 (multiplicity 4)
Tc: 0.000 0.500 0.500 (multiplicity 2)
Os: 0.184 0.000 0.197 (multiplicity 4)

---

## ii
A geometry-optimized Tm8TcOs2 structure, computed with PBE-GGA.

a b c (Å): 8.360 12.380 5.604
angles (deg): 90.00 107.60 90.00
Space group Cm (No. 8)
Symmetry-distinct sites (fractional):
Tm: 0.000 0.000 0.000 (multiplicity 2)
Tm: 0.055 0.371 0.785 (multiplicity 4)
Tm: 0.161 0.129 0.603 (multiplicity 4)
Tm: 0.218 0.500 0.374 (multiplicity 2)
Tm: 0.362 0.221 0.188 (multiplicity 4)
Tc: 0.359 0.000 0.093 (multiplicity 2)
Os: 0.355 0.315 0.685 (multiplicity 4)

---

Calculated relative energies: i 0; ii 57, given in meV/atom

---

## i
A geometry-optimized UTc2Os structure, computed with PBE-GGA.

a b c (Å): 4.044 4.044 4.009
angles (deg): 90.00 90.00 90.00
Space group P4/mmm (No. 123)
Symmetry-distinct sites (fractional):
U: 0.000 0.000 0.000 (multiplicity 1)
Tc: 0.000 0.500 0.500 (multiplicity 2)
Os: 0.500 0.500 0.000 (multiplicity 1)

---

## ii
A geometry-optimized UTc2Os structure, computed with PBE-GGA.

a b c (Å): 4.4495 4.4495 11.7158
angles (deg): 90.00 90.00 120.00
Space group R-3m (No. 166, hexagonal axes)
Symmetry-distinct sites (fractional):
U: 0.0000 0.0000 0.0000 (multiplicity 3)
Tc: 0.0000 0.0000 0.2722 (multiplicity 6)
Os: 0.0000 0.0000 0.5000 (multiplicity 3)

---

Calculated relative energies: i 0; ii 262, given in meV/atom

---

## i
A geometry-optimized UTcOs structure, computed with PBE-GGA.

a b c (Å): 7.697 2.973 5.068
angles (deg): 90.00 90.00 90.00
Space group Pmma (No. 51)
Symmetry-distinct sites (fractional):
U: 0.250 0.000 0.160 (multiplicity 2)
Tc: 0.000 0.000 0.500 (multiplicity 2)
Os: 0.250 0.500 0.724 (multiplicity 2)

---

## ii
A geometry-optimized UTcOs structure, computed with PBE-GGA.

a b c (Å): 4.5572 4.5572 5.7227
angles (deg): 90.00 90.00 120.00
Space group P6_3/mmc (No. 194)
Symmetry-distinct sites (fractional):
U: 0.3333 0.6667 0.2500 (multiplicity 2)
Tc: 0.3333 0.6667 0.7500 (multiplicity 2)
Os: 0.0000 0.0000 0.0000 (multiplicity 2)

---

Calculated relative energies: i 393; ii 0, given in meV/atom

---

## i
A geometry-optimized UTcOs structure, computed with PBE-GGA.

a b c (Å): 4.5441 4.5441 2.8194
angles (deg): 90.00 90.00 120.00
Space group P3m1 (No. 156)
Symmetry-distinct sites (fractional):
U: 0.0000 0.0000 0.0000 (multiplicity 1)
Tc: 0.3333 0.6667 0.2572 (multiplicity 1)
Os: 0.6667 0.3333 0.7198 (multiplicity 1)

---

## ii
A geometry-optimized UTcOs structure, computed with PBE-GGA.

a b c (Å): 3.886 5.148 12.033
angles (deg): 90.00 90.00 90.00
Space group Immm (No. 71)
Symmetry-distinct sites (fractional):
U: 0.000 0.000 0.185 (multiplicity 4)
Tc: 0.000 0.000 0.373 (multiplicity 4)
Os: 0.000 0.253 0.000 (multiplicity 4)

---

Calculated relative energies: i 0; ii 115, given in meV/atom

---

## i
A geometry-optimized VTcOs3 structure, computed with PBE-GGA.

a b c (Å): 4.639 4.639 4.639
angles (deg): 90.00 90.00 90.00
Space group Pm-3m (No. 221)
Symmetry-distinct sites (fractional):
V: 0.000 0.000 0.000 (multiplicity 1)
Tc: 0.500 0.500 0.500 (multiplicity 1)
Os: 0.000 0.500 0.500 (multiplicity 3)

---

## ii
A geometry-optimized VTcOs3 structure, computed with PBE-GGA.

a b c (Å): 4.431 4.431 4.431
angles (deg): 90.00 90.00 90.00
Space group Pm-3m (No. 221)
Symmetry-distinct sites (fractional):
V: 0.000 0.000 0.000 (multiplicity 1)
Tc: 0.500 0.500 0.500 (multiplicity 1)
Os: 0.000 0.000 0.500 (multiplicity 3)

---

## iii
A geometry-optimized VTcOs3 structure, computed with PBE-GGA.

a b c (Å): 2.725 6.581 8.667
angles (deg): 70.95 89.96 78.11
Space group P-1 (No. 2)
Symmetry-distinct sites (fractional):
V: 0.242 0.003 0.250 (multiplicity 2)
Tc: 0.063 0.376 0.651 (multiplicity 2)
Os: 0.048 0.402 0.154 (multiplicity 2)
Os: 0.354 0.794 0.036 (multiplicity 2)
Os: 0.356 0.791 0.565 (multiplicity 2)

---

Calculated relative energies: i 2116; ii 1780; iii 0, given in meV/atom

---

## i
A geometry-optimized VTcOs structure, computed with PBE-GGA.

a b c (Å): 4.2627 4.2627 2.6982
angles (deg): 90.00 90.00 120.00
Space group P3m1 (No. 156)
Symmetry-distinct sites (fractional):
V: 0.0000 0.0000 0.0000 (multiplicity 1)
Tc: 0.6667 0.3333 0.2595 (multiplicity 1)
Os: 0.3333 0.6667 0.6935 (multiplicity 1)

---

## ii
A geometry-optimized VTcOs structure, computed with PBE-GGA.

a b c (Å): 5.188 4.790 6.968
angles (deg): 90.00 97.38 90.00
Space group P2_1/c (No. 14)
Symmetry-distinct sites (fractional):
V: 0.097 0.121 0.338 (multiplicity 4)
Tc: 0.259 0.592 0.502 (multiplicity 4)
Os: 0.410 0.080 0.666 (multiplicity 4)

---

## iii
A geometry-optimized VTcOs structure, computed with PBE-GGA.

a b c (Å): 3.026 3.026 9.260
angles (deg): 90.00 90.00 90.00
Space group I4mm (No. 107)
Symmetry-distinct sites (fractional):
V: 0.000 0.000 0.000 (multiplicity 2)
Tc: 0.000 0.000 0.653 (multiplicity 2)
Os: 0.000 0.000 0.342 (multiplicity 2)

---

Calculated relative energies: i 21; ii 11; iii 0, given in meV/atom

---

## i
A geometry-optimized VTc2Os2 structure, computed with PBE-GGA.

a b c (Å): 7.453 7.453 2.752
angles (deg): 90.00 90.00 90.00
Space group P4/mbm (No. 127)
Symmetry-distinct sites (fractional):
V: 0.000 0.000 0.000 (multiplicity 2)
Tc: 0.124 0.376 0.000 (multiplicity 4)
Os: 0.171 0.671 0.500 (multiplicity 4)

---

## ii
A geometry-optimized VTc2Os2 structure, computed with PBE-GGA.

a b c (Å): 7.462 7.462 2.751
angles (deg): 90.00 90.00 90.00
Space group P4/mbm (No. 127)
Symmetry-distinct sites (fractional):
V: 0.000 0.000 0.000 (multiplicity 2)
Tc: 0.171 0.329 0.500 (multiplicity 4)
Os: 0.125 0.625 0.000 (multiplicity 4)

---

Calculated relative energies: i 34; ii 0, given in meV/atom

---

## i
A geometry-optimized V4TcOs structure, computed with PBE-GGA.

a b c (Å): 9.035 4.198 5.371
angles (deg): 90.00 126.39 90.00
Space group C2/m (No. 12)
Symmetry-distinct sites (fractional):
V: 0.166 0.000 0.333 (multiplicity 4)
V: 0.168 0.000 0.834 (multiplicity 4)
Tc: 0.000 0.500 0.000 (multiplicity 2)
Os: 0.000 0.500 0.500 (multiplicity 2)

---

## ii
A geometry-optimized V4TcOs structure, computed with PBE-GGA.

a b c (Å): 4.102 4.102 5.877
angles (deg): 90.00 90.00 90.00
Space group P4/mmm (No. 123)
Symmetry-distinct sites (fractional):
V: 0.000 0.500 0.249 (multiplicity 4)
Tc: 0.000 0.000 0.000 (multiplicity 1)
Os: 0.500 0.500 0.500 (multiplicity 1)

---

Calculated relative energies: i 0; ii 683, given in meV/atom

---

## i
A geometry-optimized VTc2Os structure, computed with PBE-GGA.

a b c (Å): 3.845 3.845 3.867
angles (deg): 90.00 90.00 90.00
Space group P4/mmm (No. 123)
Symmetry-distinct sites (fractional):
V: 0.000 0.000 0.000 (multiplicity 1)
Tc: 0.000 0.500 0.500 (multiplicity 2)
Os: 0.500 0.500 0.000 (multiplicity 1)

---

## ii
A geometry-optimized VTc2Os structure, computed with PBE-GGA.

a b c (Å): 6.124 6.124 6.124
angles (deg): 90.00 90.00 90.00
Space group Fm-3m (No. 225)
Symmetry-distinct sites (fractional):
V: 0.000 0.000 0.000 (multiplicity 4)
Tc: 0.250 0.250 0.250 (multiplicity 8)
Os: 0.000 0.000 0.500 (multiplicity 4)

---

## iii
A geometry-optimized VTc2Os structure, computed with PBE-GGA.

a b c (Å): 3.591 3.591 19.161
angles (deg): 90.00 90.00 90.00
Space group I-42d (No. 122)
Symmetry-distinct sites (fractional):
V: 0.000 0.000 0.000 (multiplicity 4)
Tc: 0.230 0.250 0.125 (multiplicity 8)
Os: 0.000 0.000 0.500 (multiplicity 4)

---

Calculated relative energies: i 0; ii 109; iii 642, given in meV/atom